No. 1
A plane-wave DFT calculation with GGA-PBE was carried out for an optimized crystal structure of Pm3Tm2PuS6.

abc: 3.923 7.974 8.865
angles: 103.47 102.79 90.00
Last column: magnetic moment on the atom in μB.
Positions (direct):
Pm 0.500 0.500 0.000  -0.01
Pm 0.835 0.165 0.671  0.02
Pm 0.165 0.835 0.329  0.02
Tm 0.836 0.672 0.672  0.05
Tm 0.164 0.328 0.328  0.05
Pu 0.500 0.000 0.000  5.32
S 0.334 0.905 0.667  -0.02
S 0.672 0.573 0.343  0.01
S 0.666 0.095 0.333  -0.02
S 0.004 0.247 0.008  -0.05
S 0.996 0.753 0.992  -0.05
S 0.328 0.427 0.657  0.01

## Properties
**Crystal system**: monoclinic
**Electronic total energy**: -7.17 eV per atom
**Magnetization**: 0.48 μB/atom
**Density of states at the Fermi level**: 7.45 states/eV per cell

No. 2
A plane-wave DFT calculation with GGA-PBE was carried out for an optimized crystal structure of Nb6SnGe.

abc: 5.260 5.260 5.260
angles: 90.00 90.00 90.00
Positions (direct):
Nb 0.000 0.500 0.745
Nb 0.500 0.255 0.000
Nb 0.745 0.000 0.500
Nb 0.000 0.500 0.255
Nb 0.500 0.745 0.000
Nb 0.255 0.000 0.500
Sn 0.000 0.000 0.000
Ge 0.500 0.500 0.500

## Properties
**Crystal system**: cubic
**Energy of formation**: -227 meV per atom
**Magnetization**: 0.00 μB/atom
**Density of states at the Fermi level**: 14.67 states/eV per cell

No. 3
A plane-wave DFT calculation with GGA-PBE was carried out for an optimized crystal structure of ThAg2Sn.

abc: 4.664 4.567 4.567
angles: 90.00 90.00 90.00
Positions (direct):
Ag 0.000 0.000 0.500
Ag 0.000 0.500 0.000
Sn 0.500 0.000 0.000
Th 0.500 0.500 0.500

## Properties
**Crystal system**: tetragonal
**Energy of formation**: -165 meV per atom
**Magnetization**: 0.00 μB/atom
**Density of states at the Fermi level**: 2.19 states/eV per cell

No. 4
A plane-wave DFT calculation with GGA-PBE was carried out for an optimized crystal structure of CrRhCl2.

abc: 7.234 7.234 7.234
angles: 154.19 150.14 39.87
Last column: magnetic moment on the atom in μB.
Positions (direct):
Cr 0.437 0.437 0.000  3.62
Rh 0.288 0.788 0.500  -0.27
Cl 0.011 0.011 0.000  -0.01
Cl 0.764 0.264 0.500  0.00

## Properties
**Crystal system**: orthorhombic
**Electronic total energy**: -5.17 eV per atom
**Magnetization**: 0.93 μB/atom
**Density of states at the Fermi level**: 3.56 states/eV per cell

No. 5
A plane-wave DFT calculation with GGA-PBE was carried out for an optimized crystal structure of TaAl3Fe4.

abc: 2.951 2.951 11.489
angles: 90.00 90.00 90.00
Last column: magnetic moment on the atom in μB.
Positions (direct):
Fe 0.000 0.000 0.870  -0.06
Fe 0.000 0.000 0.130  -0.06
Fe 0.000 0.000 0.379  0.73
Fe 0.000 0.000 0.621  0.73
Al 0.500 0.500 0.257  -0.01
Al 0.500 0.500 0.500  -0.03
Al 0.500 0.500 0.743  -0.01
Ta 0.500 0.500 0.000  0.02

## Properties
**Crystal system**: tetragonal
**Energy of formation**: -332 meV per atom
**Magnetization**: 0.16 μB/atom
**Density of states at the Fermi level**: 5.12 states/eV per cell

No. 6
A plane-wave DFT calculation with GGA-PBE was carried out for an optimized crystal structure of Pr6Nd5Tl.

abc: 12.118 6.322 6.337
angles: 60.08 84.92 79.78
Positions (direct):
Pr 0.753 0.082 0.325
Pr 0.247 0.592 0.325
Pr 0.248 0.242 0.000
Pr 0.752 0.758 0.000
Pr 0.753 0.408 0.675
Pr 0.247 0.918 0.675
Nd 0.500 0.169 0.662
Nd 0.000 0.333 0.333
Nd 0.500 0.500 0.000
Nd 0.000 0.667 0.667
Nd 0.500 0.831 0.338
Tl 0.000 0.000 0.000

## Properties
**Crystal system**: monoclinic
**Energy of formation**: -26 meV per atom
**Magnetization**: 0.00 μB/atom
**Density of states at the Fermi level**: 15.73 states/eV per cell

No. 7
A plane-wave DFT calculation with GGA-PBE was carried out for an optimized crystal structure of Zr2Be2GaRh5.

abc: 3.248 9.349 9.349
angles: 90.00 90.00 90.00
Positions (direct):
Zr 0.000 0.676 0.176
Zr 0.000 0.324 0.824
Zr 0.000 0.176 0.324
Zr 0.000 0.824 0.676
Be 0.000 0.122 0.622
Be 0.000 0.878 0.378
Be 0.000 0.622 0.878
Be 0.000 0.378 0.122
Ga 0.000 0.000 0.000
Ga 0.000 0.500 0.500
Rh 0.500 0.210 0.070
Rh 0.500 0.790 0.930
Rh 0.500 0.070 0.790
Rh 0.500 0.710 0.430
Rh 0.500 0.930 0.210
Rh 0.500 0.290 0.570
Rh 0.500 0.570 0.710
Rh 0.500 0.430 0.290
Rh 0.500 0.500 0.000
Rh 0.500 0.000 0.500

## Properties
**Crystal system**: tetragonal
**Energy of formation**: -834 meV per atom
**Magnetization**: 0.00 μB/atom
**Density of states at the Fermi level**: 9.71 states/eV per cell

No. 8
A plane-wave DFT calculation with GGA-PBE was carried out for an optimized crystal structure of YReSi4.

abc: 5.087 5.087 5.087
angles: 60.00 60.00 60.00
Last column: magnetic moment on the atom in μB.
Positions (direct):
Y 0.750 0.750 0.750  0.03
Re 0.000 0.000 0.000  0.55
Si 0.879 0.374 0.374  0.01
Si 0.374 0.374 0.879  0.01
Si 0.374 0.879 0.374  0.01
Si 0.374 0.374 0.374  0.01

## Properties
**Crystal system**: cubic
**Electronic total energy**: -6.47 eV per atom
**Magnetization**: 0.13 μB/atom
**Density of states at the Fermi level**: 6.08 states/eV per cell

No. 9
A plane-wave DFT calculation with GGA-PBE was carried out for an optimized crystal structure of K2HfAl2O6.

abc: 5.829 5.829 6.814
angles: 64.67 64.67 60.00
Positions (direct):
K 0.798 0.798 0.607
K 0.202 0.202 0.393
Hf 0.000 0.000 0.000
Al 0.402 0.402 0.794
Al 0.598 0.598 0.206
O 0.764 0.764 0.214
O 0.258 0.764 0.214
O 0.764 0.258 0.214
O 0.236 0.742 0.786
O 0.742 0.236 0.786
O 0.236 0.236 0.786

## Properties
**Crystal system**: trigonal
**Electronic total energy**: -7.10 eV per atom
**Magnetization**: 0.00 μB/atom
**Density of states at the Fermi level**: 0.00 states/eV per cell

No. 10
A plane-wave DFT calculation with GGA-PBE was carried out for an optimized crystal structure of MgHgN2Cl.

abc: 4.194 6.007 4.194
angles: 90.00 90.00 90.00
Last column: magnetic moment on the atom in μB.
Positions (direct):
Mg 0.000 0.500 0.000  -0.02
N 0.000 0.000 0.500  0.83
N 0.500 0.000 0.000  1.10
Hg 0.000 0.000 0.000  0.03
Cl 0.500 0.500 0.500  -0.01

## Properties
**Crystal system**: tetragonal
**Electronic total energy**: -2.72 eV per atom
**Magnetization**: 0.53 μB/atom
**Density of states at the Fermi level**: 3.52 states/eV per cell

No. 11
A plane-wave DFT calculation with GGA-PBE was carried out for an optimized crystal structure of LiLaPmTe3.

abc: 4.363 9.195 9.670
angles: 103.49 90.00 90.00
Positions (direct):
Li 0.250 0.086 0.587
Li 0.750 0.914 0.413
La 0.250 0.185 0.230
La 0.750 0.815 0.770
Pm 0.250 0.666 0.158
Pm 0.750 0.334 0.842
Te 0.750 0.908 0.127
Te 0.250 0.092 0.873
Te 0.250 0.776 0.499
Te 0.750 0.224 0.501
Te 0.750 0.429 0.180
Te 0.250 0.571 0.820

## Properties
**Crystal system**: monoclinic
**Electronic total energy**: -4.88 eV per atom
**Magnetization**: 0.00 μB/atom
**Density of states at the Fermi level**: 6.11 states/eV per cell

No. 12
A plane-wave DFT calculation with GGA-PBE was carried out for an optimized crystal structure of KPmSI.

abc: 4.203 4.203 8.662
angles: 90.01 104.04 120.00
Positions (direct):
K 0.501 0.149 0.666
Pm 0.106 0.951 0.073
S 0.322 0.559 0.896
I 0.948 0.372 0.335

## Properties
**Crystal system**: trigonal
**Electronic total energy**: -4.31 eV per atom
**Magnetization**: 0.00 μB/atom
**Density of states at the Fermi level**: 2.73 states/eV per cell

No. 13
A plane-wave DFT calculation with GGA-PBE was carried out for an optimized crystal structure of As2PIBr.

abc: 5.614 5.614 5.638
angles: 90.00 90.00 90.00
Last column: magnetic moment on the atom in μB.
Positions (direct):
I 0.000 0.000 0.000  -0.01
P 0.500 0.500 0.500  0.93
As 0.000 0.500 0.000  -0.53
As 0.500 0.000 0.000  -0.53
Br 0.000 0.000 0.500  -0.03

## Properties
**Crystal system**: tetragonal
**Electronic total energy**: -2.16 eV per atom
**Magnetization**: 0.04 μB/atom
**Density of states at the Fermi level**: 2.17 states/eV per cell

No. 14
A plane-wave DFT calculation with GGA-PBE was carried out for an optimized crystal structure of YGa4Cu2Tc.

abc: 4.157 4.157 9.357
angles: 77.17 77.17 60.00
Positions (direct):
Y 0.000 0.000 0.000
Ga 0.401 0.401 0.798
Ga 0.870 0.870 0.390
Ga 0.130 0.130 0.610
Ga 0.599 0.599 0.202
Cu 0.767 0.767 0.700
Cu 0.233 0.233 0.300
Tc 0.500 0.500 0.500

## Properties
**Crystal system**: trigonal
**Energy of formation**: -233 meV per atom
**Magnetization**: 0.00 μB/atom
**Density of states at the Fermi level**: 3.76 states/eV per cell

No. 15
A plane-wave DFT calculation with GGA-PBE was carried out for an optimized crystal structure of YBrCl.

abc: 4.860 4.860 4.860
angles: 60.00 60.00 60.00
Last column: magnetic moment on the atom in μB.
Positions (direct):
Y 0.000 0.000 0.000  0.47
Br 0.500 0.500 0.500  0.04
Cl 0.750 0.750 0.750  -0.01

## Properties
**Crystal system**: cubic
**Electronic total energy**: -4.31 eV per atom
**Magnetization**: 0.33 μB/atom
**Density of states at the Fermi level**: 1.43 states/eV per cell

No. 16
A plane-wave DFT calculation with GGA-PBE was carried out for an optimized crystal structure of ZrTe2Os.

abc: 5.593 5.593 5.593
angles: 136.04 136.04 63.92
Positions (direct):
Os 0.750 0.250 0.500
Te 0.000 0.000 0.000
Te 0.250 0.750 0.500
Zr 0.500 0.500 0.000

## Properties
**Crystal system**: tetragonal
**Electronic total energy**: -6.27 eV per atom
**Magnetization**: 0.00 μB/atom
**Density of states at the Fermi level**: 3.95 states/eV per cell

No. 17
A plane-wave DFT calculation with GGA-PBE was carried out for an optimized crystal structure of Fe3RuRh3.

abc: 7.295 7.295 7.295
angles: 90.00 90.00 90.00
Last column: magnetic moment on the atom in μB.
Positions (direct):
Fe 0.776 0.648 0.937  2.57
Fe 0.852 0.063 0.276  2.57
Fe 0.937 0.776 0.648  2.57
Fe 0.148 0.563 0.224  2.57
Fe 0.224 0.148 0.563  2.57
Fe 0.276 0.852 0.063  2.57
Fe 0.063 0.276 0.852  2.57
Fe 0.352 0.437 0.724  2.57
Fe 0.563 0.224 0.148  2.57
Fe 0.648 0.937 0.776  2.57
Fe 0.724 0.352 0.437  2.57
Fe 0.437 0.724 0.352  2.57
Ru 0.105 0.605 0.895  -0.08
Ru 0.895 0.105 0.605  -0.08
Ru 0.395 0.395 0.395  -0.08
Ru 0.605 0.895 0.105  -0.08
Rh 0.875 0.375 0.125  0.71
Rh 0.965 0.965 0.965  0.40
Rh 0.810 0.690 0.310  0.45
Rh 0.125 0.875 0.375  0.71
Rh 0.190 0.190 0.190  0.45
Rh 0.310 0.810 0.690  0.45
Rh 0.035 0.465 0.535  0.40
Rh 0.375 0.125 0.875  0.71
Rh 0.690 0.310 0.810  0.45
Rh 0.625 0.625 0.625  0.71
Rh 0.535 0.035 0.465  0.40
Rh 0.465 0.535 0.035  0.40

## Properties
**Crystal system**: cubic
**Energy of formation**: 242 meV per atom
**Magnetization**: 1.32 μB/atom
**Density of states at the Fermi level**: 41.94 states/eV per cell

No. 18
A plane-wave DFT calculation with GGA-PBE was carried out for an optimized crystal structure of BaLaTl4.

abc: 6.471 6.471 6.471
angles: 60.00 60.00 60.00
Positions (direct):
Ba 0.750 0.750 0.750
La 0.000 0.000 0.000
Tl 0.876 0.375 0.375
Tl 0.375 0.375 0.876
Tl 0.375 0.876 0.375
Tl 0.375 0.375 0.375

## Properties
**Crystal system**: cubic
**Energy of formation**: -246 meV per atom
**Magnetization**: 0.00 μB/atom
**Density of states at the Fermi level**: 4.03 states/eV per cell

No. 19
A plane-wave DFT calculation with GGA-PBE was carried out for an optimized crystal structure of ScMn2GeC.

abc: 3.540 5.633 7.062
angles: 90.00 90.00 108.31
Last column: magnetic moment on the atom in μB.
Positions (direct):
Sc 0.466 0.932 0.750  -0.07
Sc 0.534 0.068 0.250  -0.07
Mn 0.163 0.327 0.940  1.48
Mn 0.837 0.673 0.060  1.48
Mn 0.163 0.327 0.560  1.48
Mn 0.837 0.673 0.440  1.48
Ge 0.745 0.491 0.750  -0.07
Ge 0.255 0.509 0.250  -0.07
C 0.000 0.000 0.000  -0.10
C 0.000 0.000 0.500  -0.10

## Properties
**Crystal system**: orthorhombic
**Energy of formation**: -344 meV per atom
**Magnetization**: 0.55 μB/atom
**Density of states at the Fermi level**: 5.38 states/eV per cell

No. 20
A plane-wave DFT calculation with GGA-PBE was carried out for an optimized crystal structure of CaLa2Sb2.

abc: 8.955 8.955 4.078
angles: 90.00 90.00 90.00
Positions (direct):
Sb 0.168 0.668 0.500
Sb 0.668 0.832 0.500
Sb 0.832 0.332 0.500
Sb 0.332 0.168 0.500
Ca 0.000 0.000 0.000
Ca 0.500 0.500 0.000
La 0.367 0.867 0.000
La 0.867 0.633 0.000
La 0.633 0.133 0.000
La 0.133 0.367 0.000

## Properties
**Crystal system**: tetragonal
**Electronic total energy**: -4.80 eV per atom
**Magnetization**: 0.00 μB/atom
**Density of states at the Fermi level**: 8.02 states/eV per cell